Below is an optimized crystal structure of RbNiF, with properties calculated at the GGA+U level.

Cell: 4.5275 4.5275 4.5275 Å, 60.00 60.00 60.00°
Last column: magnetic moment on the atom in μB.
Positions (direct):
Ni  0.7500  0.7500  0.7500  0.60
F  0.0000  0.0000  0.0000  0.00
Rb  0.2500  0.2500  0.2500  -0.01

Output
The calculation puts the polymorph energy (0 for the lowest one) at 1212 meV/atom. The symmetry is No. 216. For the spin magnetization, the calculation gives 0.47 μB/f.u.

Below is an optimized crystal structure of RbNi2F6, with properties calculated at the GGA+U level.

Cell: 6.1061 5.2551 5.2551 Å, 120.00 90.00 90.00°
Last column: magnetic moment on the atom in μB.
Positions (direct):
F  0.6780  0.3785  0.0000  -0.04
F  0.3220  0.6215  0.0000  -0.04
F  0.3220  0.0000  0.6215  -0.04
F  0.6780  0.0000  0.3785  -0.04
F  0.3220  0.3785  0.3785  -0.04
F  0.6780  0.6215  0.6215  -0.04
Ni  0.5000  0.3333  0.6667  1.61
Ni  0.5000  0.6667  0.3333  1.61
Rb  0.0000  0.0000  0.0000  0.00

Output
The calculation puts the polymorph energy (0 for the lowest one) at 34 meV/atom. The symmetry is No. 162. For the spin magnetization, the calculation gives 3.00 μB/f.u.

Below is an optimized crystal structure of RbNiF, with properties calculated at the GGA+U level.

Cell: 4.2968 4.2968 4.2968 Å, 60.00 60.00 60.00°
Last column: magnetic moment on the atom in μB.
Positions (direct):
Ni  0.5000  0.5000  0.5000  -0.06
F  0.7500  0.7500  0.7500  0.00
Rb  0.2500  0.2500  0.2500  0.00

Output
The calculation puts the polymorph energy (0 for the lowest one) at 1362 meV/atom. The symmetry is No. 216. For the spin magnetization, the calculation gives 0.04 μB/f.u.